[1]
First-principles (PBE-GGA) data for a geometry-optimized NdTm4Tl4 structure, as listed in the Alexandria database.

Unit cell a=7.321 b=7.321 c=10.341 alpha=90.00 beta=90.00 gamma=90.00
Atoms (fractional coordinates):
1 Nd 0.000 0.000 0.000
2 Nd 0.500 0.500 0.500
3 Tm 0.233 0.500 0.910
4 Tm 0.767 0.500 0.910
5 Tm 0.500 0.767 0.090
6 Tm 0.500 0.233 0.090
7 Tm 0.000 0.733 0.410
8 Tm 0.000 0.267 0.410
9 Tm 0.267 0.000 0.590
10 Tm 0.733 0.000 0.590
11 Tl 0.500 0.782 0.790
12 Tl 0.500 0.218 0.790
13 Tl 0.782 0.500 0.210
14 Tl 0.218 0.500 0.210
15 Tl 0.282 0.000 0.290
16 Tl 0.718 0.000 0.290
17 Tl 0.000 0.282 0.710
18 Tl 0.000 0.718 0.710

Results
- magnetization (μB/atom) = 0.00
- SG = No. 137
- formation energy from the elements (eV per atom) = -0.093


[2]
First-principles (PBE-GGA) data for a geometry-optimized Nd4TmTl3 structure, as listed in the Alexandria database.

Unit cell a=3.758 b=6.247 c=14.402 alpha=130.74 beta=97.50 gamma=90.00
Atoms (fractional coordinates):
1 Nd 0.621 0.014 0.242
2 Nd 0.379 0.986 0.758
3 Nd 0.861 0.429 0.722
4 Nd 0.139 0.571 0.278
5 Tm 0.500 0.000 0.000
6 Tl 0.000 0.500 0.000
7 Tl 0.246 0.271 0.492
8 Tl 0.754 0.729 0.508

Results
- energy above the most stable polymorph in this dataset (meV/atom) = 80.0
- magnetization (μB/atom) = 0.00
- SG = No. 12
- formation energy from the elements (eV per atom) = -0.159


[3]
First-principles (PBE-GGA) data for a geometry-optimized Nd2TmTl3 structure, as listed in the Alexandria database.

Unit cell a=3.760 b=6.746 c=14.674 alpha=90.00 beta=97.36 gamma=90.00
Atoms (fractional coordinates):
1 Nd 0.155 0.750 0.310
2 Nd 0.845 0.250 0.690
3 Nd 0.995 0.750 0.990
4 Nd 0.005 0.250 0.010
5 Tm 0.332 0.750 0.665
6 Tm 0.668 0.250 0.335
7 Tl 0.422 0.491 0.843
8 Tl 0.578 0.509 0.157
9 Tl 0.422 0.009 0.843
10 Tl 0.578 0.991 0.157
11 Tl 0.747 0.750 0.495
12 Tl 0.253 0.250 0.505

Results
- energy above the most stable polymorph in this dataset (meV/atom) = 136.8
- magnetization (μB/atom) = 0.00
- SG = No. 63
- formation energy from the elements (eV per atom) = -0.229